Below is crystalline OsRhBr at its relaxed geometry, with properties calculated at the PBE level.

Cell lengths 4.232, 4.232, 3.103 Å; angles 90.00, 90.00, 120.00 degrees
Atoms (fractional coordinates):
1 Rh 0.333 0.667 0.703
2 Os 0.667 0.333 0.243
3 Br 0.000 0.000 0.054

## Properties
Its density of states at the Fermi level is 3.58 states/eV/cell. As for the symmetry: P3m1. The calculation puts the distance to the lowest polymorph of the same formula at 360 meV per atom. The crystal system is trigonal. As for the formation energy (no corrections): 1135 meV/atom. The total energy is -16.850 eV/cell.